This record from the Alexandria database describes a relaxed TaCo2Os crystal. The functional is PBE.

Computed properties:
E_form = -73 meV per atom
Theoretical density = 15.04 Mg/m³
Symmetry = I-4m2 (119)

The structure in POSCAR format:
```
TaCo2Os
1.0
3.761 0.000 0.000
0.000 3.761 0.000
0.000 0.000 7.632
Ta Co Os
2 4 2
direct
0.000 0.000 0.000
0.500 0.500 0.500
0.000 0.000 0.500
0.000 0.500 0.750
0.500 0.000 0.250
0.500 0.500 0.000
0.000 0.500 0.250
0.500 0.000 0.750
```

---

This record from the Alexandria database describes a relaxed Ta2CoOs crystal. The functional is PBE.

Computed properties:
E_form = -202 meV per atom
Theoretical density = 16.35 Mg/m³
Symmetry = Cmmm (65)

The structure in POSCAR format:
```
Ta2CoOs
1.0
6.098 0.000 0.000
0.000 6.632 0.000
0.000 0.000 3.069
Ta Co Os
4 2 2
direct
0.250 0.250 0.000
0.250 0.750 0.000
0.750 0.250 0.000
0.750 0.750 0.000
0.000 0.000 0.500
0.500 0.500 0.500
0.000 0.500 0.500
0.500 0.000 0.500
```

---

VASP energy list, top to bottom, in eV per atom: -9.40 -10.71
Total moment list, top to bottom, in μB/atom: 0.5825 0.3681
Excess energy over the best structure of this formula in the dataset list, top to bottom, in eV per formula unit: 0.45 0.00